## KNaLa2Ir (GGA-PBE)

Data for a relaxed KNaLa2Ir crystal.

Cell and atoms, written as extended XYZ:
```
5
Lattice="5.5319 0.0000 0.0000 0.0000 5.5319 0.0000 0.0000 0.0000 6.7381" Properties=species:S:1:pos:R:3 pbc="T T T"
K 0.0000 0.0000 0.0000
Na 2.7659 2.7659 0.0000
La 0.0000 2.7659 3.3691
La 2.7659 0.0000 3.3691
Ir 0.0000 0.0000 3.3691
```

Calculated values
ΔE to the lowest computed polymorph: 13 kJ/mol of formula units
Energy of formation: -0.078 eV/atom

## CsNa3Ir (GGA-PBE)

Data for a relaxed CsNa3Ir crystal.

Cell and atoms, written as extended XYZ:
```
5
Lattice="5.6730 0.0000 0.0000 0.0000 5.6730 0.0000 0.0000 0.0000 5.6730" Properties=species:S:1:pos:R:3 pbc="T T T"
Cs 0.0000 0.0000 0.0000
Na 0.0000 2.8365 2.8365
Na 2.8365 0.0000 2.8365
Na 2.8365 2.8365 0.0000
Ir 2.8365 2.8365 2.8365
```

Calculated values
Energy of formation: 0.508 eV/atom